No. 1
Material: CoSn3Bi
Method: DFT, PBE
State: relaxed

Geometry as POSCAR:
```
CoSn3Bi
1.0
5.016 0.000 0.000
0.000 5.016 0.000
0.000 0.000 5.016
Co Sn Bi
1 3 1
direct
0.000 0.000 0.000
0.000 0.000 0.500
0.000 0.500 0.000
0.500 0.000 0.000
0.500 0.500 0.500
```

Results
- symmetry = Pm-3m, No. 221

=====

No. 2
Material: Co2SnBi
Method: DFT, PBE
State: relaxed

Geometry as POSCAR:
```
Co2SnBi
1.0
0.000 3.278 3.278
3.278 0.000 3.278
3.278 3.278 0.000
Co Sn Bi
2 1 1
direct
0.250 0.250 0.250
0.750 0.750 0.750
0.000 0.000 0.000
0.500 0.500 0.500
```

Results
- symmetry = Fm-3m, No. 225

=====

No. 3
Material: CoSn3Bi
Method: DFT, PBE
State: relaxed

Geometry as POSCAR:
```
CoSn3Bi
1.0
5.881 0.000 0.000
0.000 5.881 0.000
0.000 0.000 5.881
Co Sn Bi
1 3 1
direct
0.000 0.000 0.000
0.000 0.500 0.500
0.500 0.000 0.500
0.500 0.500 0.000
0.500 0.500 0.500
```

Results
- symmetry = Pm-3m, No. 221

=====

no.,total energy (eV per atom),energy above the lowest structure with this stoichiometry (eV per atom),ΔH_f (0 K) (eV per atom)
1,-4.548,0.0000,0.051
2,-5.134,0.0000,0.390
3,-3.194,1.3536,1.405